# CrHgPO6

Crystalline CrHgPO6 at its relaxed geometry (PBE with a Hubbard U, Alexandria).

## Properties
The total energy is -6.035 eV per atom. Its crystal system is trigonal. The space group is No. 149.

Cell and atoms, written as CIF:
```
data_CrHgPO6
_chemical_formula_sum 'Cr1 Hg1 P1 O6'
_space_group_name_H-M_alt 'P 1'
_space_group_IT_number 1
_space_group_name_Hall 'P 1'
_cell_length_a 4.8434
_cell_length_b 4.8434
_cell_length_c 4.9969
_cell_angle_alpha 90.00
_cell_angle_beta 90.00
_cell_angle_gamma 120.00
loop_
_atom_site_label
_atom_site_fract_x
_atom_site_fract_y
_atom_site_fract_z
Cr1 0.0000 0.0000 0.0000
Hg1 0.6667 0.3333 0.5000
P1 0.3333 0.6667 0.0000
O1 0.0651 0.3581 0.1979
O2 0.0651 0.7069 0.8021
O3 0.2931 0.3581 0.8021
O4 0.2931 0.9349 0.1979
O5 0.6419 0.7069 0.1979
O6 0.6419 0.9349 0.8021
```